Entry a
# NdTmTh

A relaxed NdTmTh crystal (PBE-GGA, Alexandria via LeMat-Bulk).

Cell: 3.6002 3.6002 7.9687 Å, 103.06 103.06 90.00°
Fractional positions:
Tm (0.6746, 0.6746, 0.3492)
Th (0.3305, 0.3305, 0.6610)
Nd (0.9949, 0.9949, 0.9898)

Properties
Its space-group type is I4mm.



Entry b
# NdTmTh

A relaxed NdTmTh crystal (PBE-GGA, Alexandria via LeMat-Bulk).

Cell: 4.9580 4.9580 8.4947 Å, 90.00 90.00 90.00°
Fractional positions:
Nd (0.0000, 0.5000, 0.2947)
Tm (0.0000, 0.5000, 0.7140)
Tm (0.5000, 0.0000, 0.2860)
Th (0.0000, 0.0000, 0.0000)
Nd (0.5000, 0.0000, 0.7053)
Th (0.5000, 0.5000, 0.0000)

Properties
Its space-group type is P4/nmm.



Entry c
# NdTmTh

A relaxed NdTmTh crystal (PBE-GGA, Alexandria via LeMat-Bulk).

Cell: 6.6359 6.8799 8.8944 Å, 90.00 102.36 90.00°
Fractional positions:
Th (0.4161, 0.2204, 0.0036)
Nd (0.6582, 0.5996, 0.6641)
Tm (0.3651, 0.8978, 0.3254)
Tm (0.8651, 0.6022, 0.3254)
Tm (0.6349, 0.1022, 0.6746)
Nd (0.3418, 0.4004, 0.3359)
Th (0.5839, 0.7796, 0.9964)
Nd (0.1582, 0.9004, 0.6641)
Th (0.0839, 0.7204, 0.9964)
Th (0.9161, 0.2796, 0.0036)
Tm (0.1349, 0.3978, 0.6746)
Nd (0.8418, 0.0996, 0.3359)

Properties
Its space-group type is P2_1/c.



Relative energies, meV/atom: entry a 0; entry b 163; entry c 137.



Entry a
# NdTm3Th

A relaxed NdTm3Th crystal (PBE-GGA, Alexandria via LeMat-Bulk).

Cell: 6.9440 6.4852 11.7660 Å, 126.18 90.00 122.37°
Fractional positions:
Nd (0.5424, 0.0848, 0.8949)
Tm (0.5923, 0.6901, 0.2930)
Tm (0.7587, 0.5174, 0.5066)
Tm (0.0979, 0.6901, 0.2930)
Tm (0.4077, 0.3099, 0.7070)
Th (0.9431, 0.8861, 0.0917)
Tm (0.9021, 0.3099, 0.7070)
Nd (0.4576, 0.9152, 0.1051)
Tm (0.2413, 0.4826, 0.4934)
Th (0.0569, 0.1139, 0.9083)

Properties
Its space-group type is C2/m.



Entry b
# NdTm3Th

A relaxed NdTm3Th crystal (PBE-GGA, Alexandria via LeMat-Bulk).

Cell: 5.7187 6.2193 11.2985 Å, 90.00 90.00 116.98°
Fractional positions:
Nd (0.3531, 0.2038, 0.2500)
Tm (0.1542, 0.8039, 0.0123)
Tm (0.8458, 0.1961, 0.5123)
Tm (0.3332, 0.1682, 0.7500)
Tm (0.1542, 0.8039, 0.4877)
Th (0.9723, 0.4434, 0.2500)
Nd (0.6469, 0.7962, 0.7500)
Th (0.0277, 0.5566, 0.7500)
Tm (0.6668, 0.8318, 0.2500)
Tm (0.8458, 0.1961, 0.9877)

Properties
Its space-group type is P2_1/m.



Relative energies, meV/atom: entry a 0; entry b 339.



Entry a
# Nd5Tm2Th

A relaxed Nd5Tm2Th crystal (PBE-GGA, Alexandria via LeMat-Bulk).

Cell: 5.1151 7.2351 14.4698 Å, 90.00 90.00 90.00°
Fractional positions:
Nd (0.5000, 0.2487, 0.3767)
Th (0.0000, 0.0000, 0.5000)
Th (0.0000, 0.5000, 0.0000)
Nd (0.5000, 0.7487, 0.1233)
Nd (0.0000, 0.5078, 0.2483)
Nd (0.0000, 0.4922, 0.7517)
Nd (0.5000, 0.2513, 0.8767)
Nd (0.0000, 0.0078, 0.2517)
Nd (0.0000, 0.0000, 0.0000)
Tm (0.5000, 0.7605, 0.3778)
Nd (0.5000, 0.7513, 0.6233)
Tm (0.5000, 0.7395, 0.8778)
Nd (0.0000, 0.9922, 0.7483)
Tm (0.5000, 0.2605, 0.1222)
Tm (0.5000, 0.2395, 0.6222)
Nd (0.0000, 0.5000, 0.5000)

Properties
Its space-group type is Pbam.



Entry b
# Nd5Tm2Th

A relaxed Nd5Tm2Th crystal (PBE-GGA, Alexandria via LeMat-Bulk).

Cell: 12.1654 12.1654 6.3053 Å, 69.31 69.31 121.17°
Fractional positions:
Th (0.2287, 0.7712, 0.7500)
Nd (0.6368, 0.3632, 0.7500)
Nd (0.8074, 0.9488, 0.6780)
Nd (0.0512, 0.1926, 0.8220)
Nd (0.9488, 0.8075, 0.1780)
Tm (0.5000, 0.0000, 0.0000)
Nd (0.3632, 0.6368, 0.2500)
Th (0.7712, 0.2288, 0.2500)
Nd (0.4185, 0.1555, 0.5534)
Tm (0.5000, 0.5000, 0.5000)
Nd (0.8445, 0.5815, 0.9466)
Tm (0.0000, 0.5000, 0.5000)
Nd (0.1555, 0.4185, 0.0534)
Nd (0.5815, 0.8445, 0.4466)
Nd (0.1925, 0.0512, 0.3220)
Tm (0.5000, 0.5000, 0.0000)

Properties
Its space-group type is C2/c.



Relative energies, meV/atom: entry a 0; entry b 257.



Entry a
# Nd4TmTh

A relaxed Nd4TmTh crystal (PBE-GGA, Alexandria via LeMat-Bulk).

Cell: 3.4666 6.1027 10.3751 Å, 86.46 80.38 73.50°
Fractional positions:
Nd (0.1510, 0.0399, 0.6581)
Nd (0.3397, 0.4769, 0.8438)
Th (0.5000, 0.5000, 0.5000)
Tm (0.0000, 0.0000, 0.0000)
Nd (0.8490, 0.9601, 0.3419)
Nd (0.6603, 0.5231, 0.1562)

Properties
Its space-group type is C2/m.



Entry b
# Nd4TmTh

A relaxed Nd4TmTh crystal (PBE-GGA, Alexandria via LeMat-Bulk).

Cell: 3.6237 9.6079 12.0864 Å, 148.73 90.32 100.72°
Fractional positions:
Tm (0.5001, 0.0000, 0.5002)
Th (0.9999, 0.0000, 0.9999)
Nd (0.6684, 0.3364, 0.0063)
Nd (0.1701, 0.3403, 0.5056)
Nd (0.3314, 0.6640, 0.9938)
Nd (0.8300, 0.6592, 0.4943)

Properties
Its space-group type is P-1.



Relative energies, meV/atom: entry a 162; entry b 0.



Entry a
# NdTm8Th2

A relaxed NdTm8Th2 crystal (PBE-GGA, Alexandria via LeMat-Bulk).

Cell: 5.4963 10.0880 10.0880 Å, 40.26 92.01 92.01°
Fractional positions:
Tm (0.7662, 0.8169, 0.8169)
Tm (0.2630, 0.1370, 0.5986)
Tm (0.2630, 0.5986, 0.1370)
Tm (0.7370, 0.4014, 0.8630)
Tm (0.7602, 0.4531, 0.4531)
Th (0.7413, 0.2828, 0.2828)
Tm (0.2398, 0.5469, 0.5469)
Nd (0.0000, 0.0000, 0.0000)
Tm (0.2338, 0.1831, 0.1831)
Th (0.2587, 0.7172, 0.7172)
Tm (0.7370, 0.8630, 0.4014)

Properties
Its space-group type is C2/m.



Entry b
# NdTm8Th2

A relaxed NdTm8Th2 crystal (PBE-GGA, Alexandria via LeMat-Bulk).

Cell: 6.0911 7.8975 9.3168 Å, 120.41 108.81 97.61°
Fractional positions:
Th (0.2220, 0.4493, 0.6314)
Th (0.7780, 0.5507, 0.3686)
Tm (0.3195, 0.6302, 0.0878)
Tm (0.9562, 0.9107, 0.2755)
Tm (0.5968, 0.1853, 0.4568)
Tm (0.8654, 0.7224, 0.8132)
Tm (0.6805, 0.3698, 0.9122)
Nd (0.5000, 0.0000, 0.0000)
Tm (0.0438, 0.0893, 0.7245)
Tm (0.1346, 0.2776, 0.1868)
Tm (0.4032, 0.8147, 0.5432)

Properties
Its space-group type is P-1.



Relative energies, meV/atom: entry a 147; entry b 0.



Entry a
# Nd2Tm2Th

A relaxed Nd2Tm2Th crystal (PBE-GGA, Alexandria via LeMat-Bulk).

Cell: 3.5942 3.5942 14.6416 Å, 82.95 82.95 60.00°
Fractional positions:
Tm (0.6027, 0.6027, 0.1919)
Th (0.0000, 0.0000, 0.0000)
Nd (0.7988, 0.7988, 0.6036)
Nd (0.2012, 0.2012, 0.3964)
Tm (0.3973, 0.3973, 0.8081)

Properties
Its space-group type is R-3m.



Entry b
# Nd2Tm2Th

A relaxed Nd2Tm2Th crystal (PBE-GGA, Alexandria via LeMat-Bulk).

Cell: 4.5747 4.5747 8.7761 Å, 105.11 105.11 90.00°
Fractional positions:
Tm (0.4069, 0.4069, 0.8138)
Tm (0.5931, 0.5931, 0.1862)
Nd (0.2500, 0.7500, 0.5000)
Nd (0.7500, 0.2500, 0.5000)
Th (0.0000, 0.0000, 0.0000)

Properties
Its space-group type is I4/mmm.



Relative energies, meV/atom: entry a 0; entry b 407.



Entry a
# NdTmTh4

A relaxed NdTmTh4 crystal (PBE-GGA, Alexandria via LeMat-Bulk).

Cell: 6.6377 6.6377 6.6377 Å, 60.00 60.00 60.00°
Fractional positions:
Th (0.1241, 0.6253, 0.6253)
Th (0.6253, 0.1241, 0.6253)
Nd (0.2500, 0.2500, 0.2500)
Th (0.6253, 0.6253, 0.6253)
Th (0.6253, 0.6253, 0.1241)
Tm (0.0000, 0.0000, 0.0000)

Properties
Its space-group type is F-43m.



Entry b
# NdTmTh4

A relaxed NdTmTh4 crystal (PBE-GGA, Alexandria via LeMat-Bulk).

Cell: 5.0361 5.0561 8.0488 Å, 90.00 108.23 90.00°
Fractional positions:
Th (0.8317, 0.5000, 0.6635)
Th (0.3309, 0.0000, 0.6619)
Tm (0.0000, 0.0000, 0.0000)
Th (0.1683, 0.5000, 0.3365)
Nd (0.5000, 0.5000, 0.0000)
Th (0.6691, 0.0000, 0.3381)

Properties
Its space-group type is Cmmm.



Relative energies, meV/atom: entry a 226; entry b 0.



Entry a
# NdTm9Th2

A relaxed NdTm9Th2 crystal (PBE-GGA, Alexandria via LeMat-Bulk).

Cell: 3.4852 11.2352 11.2352 Å, 120.00 90.00 90.00°
Fractional positions:
Tm (0.0000, 0.5000, 0.0000)
Tm (0.5000, 0.1761, 0.8239)
Tm (0.0000, 0.5000, 0.5000)
Tm (0.5000, 0.8239, 0.1761)
Tm (0.5000, 0.8239, 0.6479)
Tm (0.5000, 0.3521, 0.1761)
Nd (0.0000, 0.0000, 0.0000)
Th (0.0000, 0.3333, 0.6667)
Tm (0.5000, 0.6479, 0.8239)
Th (0.0000, 0.6667, 0.3333)
Tm (0.0000, 0.0000, 0.5000)
Tm (0.5000, 0.1761, 0.3521)

Properties
Its space-group type is P6/mmm.



Entry b
# NdTm9Th2

A relaxed NdTm9Th2 crystal (PBE-GGA, Alexandria via LeMat-Bulk).

Cell: 4.9733 4.9733 14.9696 Å, 90.00 90.00 90.00°
Fractional positions:
Tm (0.5000, 0.0000, 0.5000)
Th (0.0000, 0.0000, 0.3343)
Tm (0.0000, 0.5000, 0.1698)
Tm (0.0000, 0.5000, 0.8302)
Tm (0.5000, 0.0000, 0.1698)
Nd (0.0000, 0.0000, 0.0000)
Tm (0.5000, 0.5000, 0.0000)
Tm (0.5000, 0.5000, 0.6661)
Tm (0.5000, 0.0000, 0.8302)
Tm (0.5000, 0.5000, 0.3339)
Th (0.0000, 0.0000, 0.6657)
Tm (0.0000, 0.5000, 0.5000)

Properties
Its space-group type is P4/mmm.



Relative energies, meV/atom: entry a 71; entry b 0.



Entry a
# Nd2Tm4Th

A relaxed Nd2Tm4Th crystal (PBE-GGA, Alexandria via LeMat-Bulk).

Cell: 3.5923 3.5918 20.1825 Å, 95.13 90.00 120.00°
Fractional positions:
Nd (0.7147, 0.4294, 0.3815)
Tm (0.9039, 0.8077, 0.9484)
Th (0.8094, 0.6188, 0.6689)
Tm (0.0010, 0.0020, 0.2384)
Tm (0.5239, 0.0479, 0.8114)
Tm (0.4290, 0.8580, 0.5263)
Nd (0.6195, 0.2390, 0.0932)

Properties
Its space-group type is Cm.



Entry b
# Nd2Tm4Th

A relaxed Nd2Tm4Th crystal (PBE-GGA, Alexandria via LeMat-Bulk).

Cell: 6.5853 9.0231 9.0231 Å, 79.09 68.60 68.60°
Fractional positions:
Tm (0.2408, 0.2389, 0.7389)
Th (0.0000, 0.5000, 0.0000)
Nd (0.7259, 0.0241, 0.5241)
Nd (0.5000, 0.0000, 0.0000)
Th (0.5000, 0.5000, 0.0000)
Tm (0.1401, 0.3687, 0.3510)
Tm (0.7592, 0.7611, 0.2611)
Tm (0.8599, 0.1490, 0.1313)
Nd (0.2741, 0.9759, 0.4759)
Tm (0.8599, 0.6313, 0.6490)
Nd (0.5000, 0.5000, 0.5000)
Tm (0.1401, 0.8510, 0.8687)
Tm (0.2187, 0.7611, 0.2611)
Tm (0.7813, 0.2389, 0.7389)

Properties
Its space-group type is Imma.



Relative energies, meV/atom: entry a 0; entry b 266.



Entry a
# NdTm6Th2

A relaxed NdTm6Th2 crystal (PBE-GGA, Alexandria via LeMat-Bulk).

Cell: 6.5446 9.4812 9.4812 Å, 96.18 82.34 82.34°
Fractional positions:
Tm (0.6819, 0.2235, 0.0520)
Tm (0.5027, 0.6562, 0.2745)
Th (0.6217, 0.6608, 0.6088)
Nd (0.7500, 0.8836, 0.1164)
Tm (0.7315, 0.0594, 0.4585)
Tm (0.7685, 0.5415, 0.9406)
Tm (0.8181, 0.9480, 0.7765)
Tm (0.0027, 0.2745, 0.6562)
Tm (0.3181, 0.7765, 0.9480)
Nd (0.2500, 0.1164, 0.8836)
Tm (0.2685, 0.9406, 0.5415)
Th (0.1217, 0.6088, 0.6608)
Tm (0.1819, 0.0520, 0.2235)
Tm (0.4973, 0.3438, 0.7255)
Th (0.8783, 0.3912, 0.3392)
Tm (0.2315, 0.4585, 0.0594)
Th (0.3783, 0.3392, 0.3912)
Tm (0.9973, 0.7255, 0.3438)

Properties
Its space-group type is C2/c.



Entry b
# NdTm6Th2

A relaxed NdTm6Th2 crystal (PBE-GGA, Alexandria via LeMat-Bulk).

Cell: 3.5358 3.5358 26.2151 Å, 90.00 90.00 120.00°
Fractional positions:
Tm (0.6667, 0.3333, 0.3320)
Tm (0.3333, 0.6667, 0.2249)
Tm (0.3333, 0.6667, 0.4365)
Th (0.6667, 0.3333, 0.8840)
Nd (0.3333, 0.6667, 0.0000)
Tm (0.3333, 0.6667, 0.7751)
Tm (0.6667, 0.3333, 0.6680)
Th (0.6667, 0.3333, 0.1160)
Tm (0.3333, 0.6667, 0.5635)

Properties
Its space-group type is P-6m2.



Relative energies, meV/atom: entry a 66; entry b 0.



Entry a
# NdYTmTh

A relaxed NdYTmTh crystal (PBE-GGA, Alexandria via LeMat-Bulk).

Cell: 3.5974 3.5972 11.7425 Å, 90.00 98.82 120.00°
Fractional positions:
Th (0.3040, 0.5500, 0.8695)
Tm (0.1313, 0.9638, 0.1096)
Y (0.4747, 0.1351, 0.6253)
Nd (0.9678, 0.3819, 0.3652)

Properties
Its space-group type is R3m.



Entry b
# NdYTmTh

A relaxed NdYTmTh crystal (PBE-GGA, Alexandria via LeMat-Bulk).

Cell: 5.6990 5.6990 5.6990 Å, 60.00 60.00 60.00°
Fractional positions:
Y (0.0000, 0.0000, 0.0000)
Nd (0.2500, 0.2500, 0.2500)
Th (0.7500, 0.7500, 0.7500)
Tm (0.5000, 0.5000, 0.5000)

Properties
Its space-group type is F-43m.



Relative energies, meV/atom: entry a 0; entry b 111.